# AcPr6Cd2

A relaxed structure of AcPr6Cd2 (PBE, Alexandria).

Cell: 10.108 10.108 6.290 Å, 95.83 95.83 72.31°
Element x y z (fractional)
Ac 0.111 0.889 0.750
Ac 0.889 0.111 0.250
Pr 0.030 0.727 0.194
Pr 0.107 0.354 0.334
Pr 0.273 0.970 0.306
Pr 0.326 0.555 0.490
Pr 0.354 0.107 0.834
Pr 0.445 0.674 0.010
Pr 0.555 0.326 0.990
Pr 0.646 0.893 0.166
Pr 0.674 0.445 0.510
Pr 0.727 0.030 0.694
Pr 0.893 0.646 0.666
Pr 0.970 0.273 0.806
Cd 0.208 0.464 0.902
Cd 0.464 0.208 0.402
Cd 0.536 0.792 0.598
Cd 0.792 0.536 0.098

## Properties
Relative energy among the computed polymorphs in eV/atom: 0.061
E in eV/atom: -3.9152
V in Å³ per atom: 33.75
DOS at the Fermi energy in states/eV/f.u.: 12.14